Here is Gd2ZrHg after structural relaxation from Alexandria. Energies are from PBE-GGA.

Cell lengths 3.476, 3.476, 8.892 Å; angles 90.00, 90.00, 90.00 degrees
Fractional positions:
Hg: 0.500 0.500 0.000
Zr: 0.500 0.500 0.500
Gd: 0.000 0.000 0.758
Gd: 0.000 0.000 0.242

Calculated values
The value obtained for the polymorph energy (0 for the lowest one) is 0 meV/atom. The formation energy from the elements is -186 meV per atom. The volume is 107.5 Å³ per cell. As for the space group: P4/mmm (123). Its total energy is -9.439 eV/atom.